Here is crystalline K2AgSb at its relaxed geometry from Alexandria. Energies are from PBE.

Output
SG = P4mm (99)
volume = 163 Å³/cell
ΔE_f (raw) = -0.2 eV per formula unit

abc: 4.035 4.035 10.015
angles: 90.00 90.00 89.97
Fractional coordinates of all 4 atoms:
1 Ag 0.500 0.500 0.654
2 K 0.000 0.000 0.927
3 K 0.500 0.500 0.331
4 Sb 0.000 0.000 0.588